# ScZn2Cr (meta-GGA SCAN, PBEsol geometry)
data_ScZn2Cr
_symmetry_space_group_name_H-M 'P 1'
_symmetry_Int_Tables_number 1
_symmetry_space_group_name_Hall 'P 1'
_cell_length_a 3.928
_cell_length_b 3.928
_cell_length_c 4.886
_cell_angle_alpha 113.70
_cell_angle_beta 113.70
_cell_angle_gamma 90.00
loop_
_atom_site_label
_atom_site_fract_x
_atom_site_fract_y
_atom_site_fract_z
Zn1 0.750 0.250 0.500
Zn2 0.000 0.000 0.000
Sc1 0.250 0.750 0.500
Cr1 0.500 0.500 0.000
# calculated total energy	-15.001	eV per atom
# space group	No. 119
# density	6.10	g/cm³